Sr3Cr2 PBE relaxed; spin magnetization = 9.85 μB/f.u.; total DFT energy (no corrections) = -4.172 eV per atom; energy of formation from the pure elements = 3.434 eV per formula unit; calculated volume = 38.84 A^3/atom; relative energy among the computed polymorphs = 0.00 eV/f.u.
1.0
2.828 -4.898 0.000
2.828 4.898 0.000
0.000 0.000 7.011
Sr Cr
3 2
direct
0.000 0.000 0.000 Sr
0.667 0.333 0.658 Sr
0.333 0.667 0.342 Sr
0.667 0.333 0.141 Cr
0.333 0.667 0.859 Cr

CaPr2PaBi4 PBE relaxed; spin magnetization = 0.64 μB/f.u.; total DFT energy (no corrections) = -5.274 eV per atom; energy of formation from the pure elements = -5.611 eV per formula unit; calculated volume = 34.16 A^3/atom
1.0
4.585 0.000 0.000
0.000 7.934 0.160
0.000 -2.751 7.457
Ca Pr Pa Bi
1 2 1 4
direct
0.500 0.500 0.000 Ca
0.500 0.000 0.500 Pr
0.000 0.500 0.500 Pr
0.000 0.000 0.000 Pa
0.500 0.242 0.240 Bi
0.500 0.758 0.760 Bi
0.000 0.245 0.759 Bi
0.000 0.755 0.241 Bi

ThZnInCu PBE relaxed; spin magnetization = 0.00 μB/f.u.; total DFT energy (no corrections) = -4.101 eV per atom; energy of formation from the pure elements = -0.876 eV per formula unit; calculated volume = 20.89 A^3/atom
1.0
-4.415 1.598 -1.426
-1.129 0.157 -4.773
-3.271 -3.155 -1.853
Zn Cu Th In
1 1 1 1
direct
0.750 0.750 0.750 Zn
0.250 0.250 0.250 Cu
0.000 0.000 0.000 Th
0.500 0.500 0.500 In